This record from Alexandria via LeMat-Bulk describes an optimized crystal structure of SbTe2ClO. The functional is GGA-PBE.

Cell: 4.7687 4.7687 5.1526 Å, 90.00 90.00 90.00°
Positions (direct):
Cl: 0.5000 0.5000 0.5000
Te: 0.0000 0.5000 0.0000
Te: 0.5000 0.0000 0.0000
Sb: 0.0000 0.0000 0.5000
O: 0.0000 0.0000 0.0000

Computed properties:
- energy relative to the lowest polymorph listed for this composition (meV/atom) = 0.0
- formation energy (no corrections) (meV/atom) = 177
- raw total energy (eV/cell) = -16.3

This record from Alexandria via LeMat-Bulk describes an optimized crystal structure of Tl3Sb2Cl2O4. The functional is GGA-PBE.

Cell: 4.3337 4.3337 12.8899 Å, 99.68 99.68 90.00°
Positions (direct):
Sb: 0.5825 0.5825 0.1650
Sb: 0.4175 0.4175 0.8350
O: 0.0838 0.5838 0.1677
O: 0.5838 0.0838 0.1677
O: 0.4162 0.9162 0.8323
O: 0.9162 0.4162 0.8323
Tl: 0.0000 0.0000 0.0000
Tl: 0.1632 0.1632 0.3264
Tl: 0.8368 0.8368 0.6736
Cl: 0.3132 0.3132 0.6264
Cl: 0.6868 0.6868 0.3736

Computed properties:
- formation energy (no corrections) (meV/atom) = -874
- raw total energy (eV/cell) = -48.5

This record from Alexandria via LeMat-Bulk describes an optimized crystal structure of TlSbClO2. The functional is GGA-PBE.

Cell: 4.1413 6.8761 7.9066 Å, 104.29 90.00 90.00°
Positions (direct):
O: 0.2500 0.4801 0.1670
O: 0.7500 0.5555 0.4363
O: 0.7500 0.5199 0.8330
O: 0.2500 0.4445 0.5637
Sb: 0.7500 0.3474 0.5847
Sb: 0.2500 0.6526 0.4153
Cl: 0.7500 0.9480 0.1987
Cl: 0.2500 0.0520 0.8013
Tl: 0.7500 0.2966 0.0537
Tl: 0.2500 0.7034 0.9463

Computed properties:
- formation energy (no corrections) (meV/atom) = -985
- raw total energy (eV/cell) = -46.4

This record from Alexandria via LeMat-Bulk describes an optimized crystal structure of USbClO4. The functional is GGA-PBE.

Cell: 6.4055 6.4055 7.2252 Å, 78.62 78.62 80.45°
Positions (direct):
O: 0.3920 0.3920 0.9064
O: 0.1197 0.5756 0.2278
O: 0.3296 0.3296 0.5303
O: 0.5756 0.1197 0.2278
O: 0.6080 0.6080 0.0936
O: 0.4244 0.8803 0.7722
O: 0.8803 0.4244 0.7722
O: 0.6704 0.6704 0.4697
Cl: 0.0897 0.0897 0.2490
Cl: 0.9103 0.9103 0.7510
U: 0.6375 0.6375 0.7678
U: 0.3625 0.3625 0.2322
Sb: 0.2123 0.2123 0.7979
Sb: 0.7877 0.7877 0.2021

Computed properties:
- formation energy (no corrections) (meV/atom) = -2169
- raw total energy (eV/cell) = -104.5

This record from Alexandria via LeMat-Bulk describes an optimized crystal structure of Y3SbCl2O6. The functional is GGA-PBE.

Cell: 5.4822 6.5770 6.6790 Å, 119.50 81.96 90.00°
Positions (direct):
Y: 0.5000 0.0000 0.5000
Y: 0.0000 0.5000 0.0000
Y: 0.5000 0.5000 0.5000
O: 0.2949 0.6992 0.8785
O: 0.6724 0.8340 0.6680
O: 0.7051 0.3008 0.1215
O: 0.3276 0.1660 0.3320
O: 0.7051 0.8208 0.1215
O: 0.2949 0.1792 0.8785
Sb: 0.5000 0.0000 0.0000
Cl: 0.1465 0.7060 0.4120
Cl: 0.8535 0.2940 0.5880

Computed properties:
- formation energy (no corrections) (meV/atom) = -2374
- raw total energy (eV/cell) = -85.4

This record from Alexandria via LeMat-Bulk describes an optimized crystal structure of YSbCl2O. The functional is GGA-PBE.

Cell: 4.6448 4.7657 4.6448 Å, 90.00 90.00 90.00°
Positions (direct):
Sb: 0.0000 0.5000 0.0000
Cl: 0.5000 0.0000 0.0000
Cl: 0.0000 0.0000 0.5000
Y: 0.5000 0.5000 0.5000
O: 0.0000 0.0000 0.0000

Computed properties:
- formation energy (no corrections) (meV/atom) = -459
- raw total energy (eV/cell) = -21.5

This record from Alexandria via LeMat-Bulk describes an optimized crystal structure of ZnSb2Cl2O3. The functional is GGA-PBE.

Cell: 5.6991 6.4076 17.9583 Å, 90.00 90.00 90.00°
Positions (direct):
O: 0.5176 0.6300 0.6584
O: 0.0176 0.3700 0.3416
O: 0.0176 0.1300 0.8416
O: 0.2500 0.5497 0.2182
O: 0.7500 0.0497 0.2818
O: 0.9824 0.8700 0.1584
O: 0.4824 0.3700 0.3416
O: 0.5176 0.8700 0.1584
O: 0.9824 0.6300 0.6584
O: 0.7500 0.4503 0.7818
O: 0.2500 0.9503 0.7182
O: 0.4824 0.1300 0.8416
Cl: 0.2500 0.1243 0.0258
Cl: 0.7500 0.8757 0.9742
Cl: 0.7500 0.1262 0.6154
Cl: 0.2500 0.8738 0.3846
Cl: 0.2500 0.3757 0.5258
Cl: 0.7500 0.6243 0.4742
Cl: 0.2500 0.6262 0.8846
Cl: 0.7500 0.3738 0.1154
Sb: 0.2500 0.2335 0.7628
Sb: 0.2500 0.2665 0.2628
Sb: 0.2500 0.6904 0.1190
Sb: 0.2500 0.8096 0.6190
Sb: 0.7500 0.3096 0.8810
Sb: 0.7500 0.1904 0.3810
Sb: 0.7500 0.7335 0.7372
Sb: 0.7500 0.7665 0.2372
Zn: 0.7500 0.0298 0.0873
Zn: 0.2500 0.9702 0.9127
Zn: 0.2500 0.5298 0.4127
Zn: 0.7500 0.4702 0.5873

Computed properties:
- formation energy (no corrections) (meV/atom) = -1266
- raw total energy (eV/cell) = -152.9

This record from Alexandria via LeMat-Bulk describes an optimized crystal structure of ScClO. The functional is GGA-PBE.

Cell: 3.5685 3.5685 8.4253 Å, 90.00 90.00 90.00°
Positions (direct):
Cl: 0.0000 0.5000 0.6949
Cl: 0.5000 0.0000 0.3051
Sc: 0.0000 0.5000 0.1264
Sc: 0.5000 0.0000 0.8736
O: 0.0000 0.0000 0.0000
O: 0.5000 0.5000 0.0000

Computed properties:
- formation energy (no corrections) (meV/atom) = -2845
- raw total energy (eV/cell) = -43.3